A plane-wave DFT calculation with GGA-PBE was carried out for LiUMnS4 after structural relaxation.

The space group is Imma (No. 74) and the conventional cell measures 7.504, 8.071 and 10.078 Å, with angles of 90.00, 90.00 and 90.00 degrees. The asymmetric unit holds Li at (0.000, 0.250, 0.148), U at (0.000, 0.000, 0.500), Mn at (0.250, 0.250, 0.750), S at (0.000, 0.036, 0.755) and S at (0.233, 0.250, 0.498).

The density comes out at 4.7 g/cm³. For the electronic total energy, the calculation gives -186.35 eV for the cell shown. The volume is 152.61 Å³/f.u. As for the formation energy from raw total energies: -7.71 eV per formula unit.